Entry 1:
Density functional theory data (GGA-PBE) for MgPPtO2 after structural relaxation.

Lattice parameters (Å, degrees): 3.6597 3.6597 6.4030 90.00 90.00 90.00
Last column: magnetic moment on the atom in μB.
Fractional coordinates of all 5 atoms:
O1 0.0000 0.5000 0.0000  0.78
O2 0.5000 0.0000 0.0000  0.78
P1 0.0000 0.0000 0.5000  0.03
Pt1 0.5000 0.5000 0.5000  0.09
Mg1 0.0000 0.0000 0.0000  -0.01

Calculated values
**Formation energy (no corrections)**: -0.0540 eV/atom
**Electronic total energy**: -4.6464 eV per atom
**Space-group type**: P4/mmm, No. 123

***

Entry 2:
Density functional theory data (GGA-PBE) for BaMgWSe2 after structural relaxation.

Lattice parameters (Å, degrees): 6.0117 6.2973 6.0117 90.00 90.00 90.00
Last column: magnetic moment on the atom in μB.
Fractional coordinates of all 5 atoms:
Se1 0.0000 0.0000 0.5000  -0.45
Se2 0.5000 0.0000 0.0000  -0.22
Ba1 0.0000 0.0000 0.0000  -0.01
W1 0.5000 0.5000 0.5000  3.59
Mg1 0.0000 0.5000 0.0000  -0.02

Calculated values
**Formation energy (no corrections)**: 1.5304 eV/atom
**Electronic total energy**: -3.1575 eV per atom
**Space-group type**: P4/mmm, No. 123

***

Entry 3:
Density functional theory data (GGA-PBE) for YN2Cl after structural relaxation.

Lattice parameters (Å, degrees): 4.6780 4.6780 7.0459 70.61 70.61 90.00
Fractional coordinates of all 8 atoms:
Cl1 0.5000 0.5000 0.0000
Cl2 0.2500 0.7500 0.5000
N1 0.8750 0.8571 0.7500
N2 0.3750 0.3929 0.7500
N3 0.1429 0.6250 0.2500
N4 0.6071 0.1250 0.2500
Y1 0.7500 0.2500 0.5000
Y2 0.0000 0.0000 0.0000

Calculated values
**Formation energy (no corrections)**: 0.6991 eV/atom
**Electronic total energy**: -5.5413 eV per atom
**Space-group type**: I-42d, No. 122

***

Entry 4:
Density functional theory data (GGA-PBE) for RbHgPdCl5 after structural relaxation.

Lattice parameters (Å, degrees): 7.9113 7.9113 8.5003 96.87 96.87 99.88
Fractional coordinates of all 16 atoms:
Cl1 0.0808 0.9192 0.2500
Cl2 0.2434 0.4462 0.5511
Cl3 0.7172 0.0125 0.3938
Cl4 0.9192 0.0808 0.7500
Cl5 0.9875 0.2828 0.1062
Cl6 0.2828 0.9875 0.6062
Cl7 0.5538 0.7566 0.9489
Cl8 0.0125 0.7172 0.8938
Cl9 0.7566 0.5538 0.4489
Cl10 0.4462 0.2434 0.0511
Hg1 0.7087 0.2913 0.2500
Hg2 0.2913 0.7087 0.7500
Pd1 0.0000 0.0000 0.5000
Pd2 0.0000 0.0000 0.0000
Rb1 0.3736 0.6264 0.2500
Rb2 0.6264 0.3736 0.7500

Calculated values
**Formation energy (no corrections)**: -0.8740 eV/atom
**Electronic total energy**: -2.8359 eV per atom
**Space-group type**: C2/c, No. 15

***

Entry 5:
Density functional theory data (GGA-PBE) for Ca2HgBr after structural relaxation.

Lattice parameters (Å, degrees): 4.0736 4.0736 8.8361 76.67 76.67 60.00
Fractional coordinates of all 4 atoms:
Hg1 0.6677 0.6677 0.9970
Ca1 0.2552 0.2552 0.2345
Ca2 0.0800 0.0800 0.7601
Br1 0.4972 0.4972 0.5085

Calculated values
**Formation energy (no corrections)**: -0.9138 eV/atom
**Electronic total energy**: -2.4082 eV per atom
**Space-group type**: R3m, No. 160

***

Entry 6:
Density functional theory data (GGA-PBE) for NaCa5Bi4 after structural relaxation.

Lattice parameters (Å, degrees): 4.7754 8.8251 8.8251 73.68 74.30 74.30
Fractional coordinates of all 10 atoms:
Ca1 0.9062 0.0349 0.6527
Ca2 0.7500 0.5000 0.5000
Ca3 0.9062 0.6527 0.0349
Ca4 0.5938 0.3473 0.9651
Ca5 0.5938 0.9651 0.3473
Bi1 0.4941 0.7559 0.7559
Bi2 0.0059 0.2441 0.2441
Bi3 0.2500 0.7098 0.2902
Bi4 0.2500 0.2902 0.7098
Na1 0.2500 0.0000 0.0000

Calculated values
**Energy of formation**: -6.51 eV/f.u.
**Electronic total energy**: -3.3365 eV per atom
**Space-group type**: Immm, No. 71

***

Entry 7:
Density functional theory data (GGA-PBE) for Pm6Pr3Dy2Th after structural relaxation.

Lattice parameters (Å, degrees): 6.2995 6.2995 12.1263 94.96 94.96 119.91
Fractional coordinates of all 12 atoms:
Pr1 0.8332 0.1668 0.5000
Pr2 0.1668 0.8332 0.5000
Pr3 0.5000 0.5000 0.5000
Dy1 0.6665 0.3335 0.0000
Dy2 0.3335 0.6665 0.0000
Pm1 0.4117 0.0820 0.2446
Pm2 0.9180 0.5883 0.7554
Pm3 0.2477 0.2477 0.7550
Pm4 0.7523 0.7523 0.2450
Pm5 0.0820 0.4117 0.2446
Pm6 0.5883 0.9180 0.7554
Th1 0.0000 0.0000 0.0000

Calculated values
**Energy of formation**: 0.32 eV/f.u.
**Electronic total energy**: -4.9286 eV per atom
**Space-group type**: C2/m, No. 12

***

Entry 8:
Density functional theory data (GGA-PBE) for CaTi2Ge2 after structural relaxation.

Lattice parameters (Å, degrees): 7.3852 7.3852 3.4541 90.00 90.00 90.00
Last column: magnetic moment on the atom in μB.
Fractional coordinates of all 10 atoms:
Ca1 0.5000 0.5000 0.0000  0.02
Ca2 0.0000 0.0000 0.0000  0.02
Ge1 0.3687 0.8687 0.0000  -0.01
Ge2 0.8687 0.6313 0.0000  -0.01
Ge3 0.6313 0.1313 0.0000  -0.01
Ge4 0.1313 0.3687 0.0000  -0.01
Ti1 0.6605 0.8395 0.5000  0.18
Ti2 0.1605 0.6605 0.5000  0.20
Ti3 0.3395 0.1605 0.5000  0.18
Ti4 0.8395 0.3395 0.5000  0.20

Calculated values
**Energy of formation**: -1.71 eV/f.u.
**Electronic total energy**: -5.7472 eV per atom
**Space-group type**: P4/mbm, No. 127

***

Entry 9:
Density functional theory data (GGA-PBE) for Cu3SbBr after structural relaxation.

Lattice parameters (Å, degrees): 4.9408 4.9408 4.9408 90.00 90.00 90.00
Fractional coordinates of all 5 atoms:
Cu1 0.0000 0.5000 0.0000
Cu2 0.5000 0.0000 0.0000
Cu3 0.0000 0.0000 0.5000
Sb1 0.0000 0.0000 0.0000
Br1 0.5000 0.5000 0.5000

Calculated values
**Formation energy (no corrections)**: 0.4978 eV/atom
**Electronic total energy**: -3.1189 eV per atom
**Space-group type**: Pm-3m, No. 221

***

Entry 10:
Density functional theory data (GGA-PBE) for TaCdIr after structural relaxation.

Lattice parameters (Å, degrees): 7.6599 7.4409 2.8300 83.59 74.87 21.54
Fractional coordinates of all 3 atoms:
Ta1 0.6766 0.6766 0.3234
Ir1 0.3261 0.3261 0.6739
Cd1 0.9975 0.9975 0.0025

Calculated values
**Energy of formation**: 0.28 eV/f.u.
**Electronic total energy**: -7.1168 eV per atom
**Space-group type**: Fmm2, No. 42

***

Entry 11:
Density functional theory data (GGA-PBE) for MgSiAs2 after structural relaxation.

Lattice parameters (Å, degrees): 4.5746 4.5746 3.6104 90.00 90.00 77.60
Fractional coordinates of all 4 atoms:
Mg1 0.5000 0.0000 0.5000
As1 0.0000 0.0000 0.0000
As2 0.5000 0.5000 0.0000
Si1 0.0000 0.5000 0.5000

Calculated values
**Formation energy (no corrections)**: 0.1264 eV/atom
**Electronic total energy**: -3.9528 eV per atom
**Space-group type**: Cmmm, No. 65

***

Entry 12:
Density functional theory data (GGA-PBE) for Ni2As2Pd after structural relaxation.

Lattice parameters (Å, degrees): 6.9814 6.9814 2.9290 90.00 90.00 90.00
Fractional coordinates of all 10 atoms:
As1 0.1611 0.3389 0.0000
As2 0.8389 0.6611 0.0000
As3 0.6611 0.1611 0.0000
As4 0.3389 0.8389 0.0000
Ni1 0.8658 0.3658 0.5000
Ni2 0.1342 0.6342 0.5000
Ni3 0.3658 0.1342 0.5000
Ni4 0.6342 0.8658 0.5000
Pd1 0.5000 0.5000 0.0000
Pd2 0.0000 0.0000 0.0000

Calculated values
**Energy of formation**: -0.72 eV/f.u.
**Electronic total energy**: -5.3553 eV per atom
**Space-group type**: P4/mbm, No. 127